Sm6Sb3Se2S | PBE | relaxed

Output
Energy, eV/cell: -70.0
Energy relative to the elements, uncorrected, meV/atom: -1520

abc: 4.305 8.592 9.626
angles: 102.85 102.92 90.00
Sites, in units of the cell vectors:
Sm 0.342 0.914 0.683
Sm 0.668 0.578 0.336
Sm 0.658 0.086 0.317
Sm 0.001 0.234 0.002
Sm 0.999 0.766 0.998
Sm 0.332 0.422 0.664
Sb 0.500 0.500 0.000
Sb 0.831 0.165 0.662
Sb 0.169 0.835 0.338
Se 0.834 0.666 0.668
Se 0.166 0.334 0.332
S 0.500 0.000 0.000